VASP calculation (PBE) on crystalline LiGdMgPt at its relaxed geometry.

Lattice parameters (Å, degrees): 6.8104 6.8104 6.8104 90.00 90.00 90.00
Space group F-43m (No. 216)
One atom of each set of equivalent atoms:
Li1 0.0000 0.0000 0.0000 [4 per cell]
Gd1 0.2500 0.2500 0.2500 [4 per cell]
Mg1 0.2500 0.2500 0.7500 [4 per cell]
Pt1 0.0000 0.0000 0.5000 [4 per cell]

Computed properties:
Energy relative to the elements   -0.64 eV per atom

VASP calculation (PBE) on crystalline PuThScPa at its relaxed geometry.

Lattice parameters (Å, degrees): 7.5053 7.5053 7.5053 90.00 90.00 90.00
Space group F-43m (No. 216)
One atom of each set of equivalent atoms:
Pu1 0.0000 0.0000 0.0000 [4 per cell]
Th1 0.0000 0.0000 0.5000 [4 per cell]
Sc1 0.2500 0.2500 0.7500 [4 per cell]
Pa1 0.2500 0.2500 0.2500 [4 per cell]

Computed properties:
Energy relative to the elements   0.24 eV per atom

VASP calculation (PBE) on crystalline PrSm3N3 at its relaxed geometry.

Lattice parameters (Å, degrees): 6.3227 6.3227 27.4465 90.00 90.00 120.00
Space group R-3 (No. 148, hexagonal axes)
One atom of each set of equivalent atoms:
Pr1 0.0000 0.0000 0.1667 [6 per cell]
Sm1 0.0001 0.3175 0.3988 [18 per cell]
N1 0.9996 0.3651 0.5623 [18 per cell]

Computed properties:
Uncorrected formation energy   -7.065 eV/f.u.
Distance to the lowest polymorph of the same formula   144 meV/atom

VASP calculation (PBE) on crystalline InAg5Hg at its relaxed geometry.

Lattice parameters (Å, degrees): 12.4552 8.1154 5.5083 90.00 98.81 90.00
Space group C2/c (No. 15)
One atom of each set of equivalent atoms:
In1 0.2500 0.2500 0.0000 [4 per cell]
Ag1 0.0000 0.1123 0.7500 [4 per cell]
Ag2 0.1042 0.4395 0.6597 [8 per cell]
Ag3 0.1934 0.0903 0.5226 [8 per cell]
Hg1 0.0000 0.2442 0.2500 [4 per cell]

Computed properties:
Energy relative to the elements   0.02 eV per atom
Distance to the lowest polymorph of the same formula   0 meV/atom

VASP calculation (PBE) on crystalline SiSbRu2 at its relaxed geometry.

Lattice parameters (Å, degrees): 2.9858 3.8182 5.6686 90.00 90.00 90.00
Space group Pmm2 (No. 25)
One atom of each set of equivalent atoms:
Si1 0.0000 0.0000 0.0000 [1 per cell]
Sb1 0.5000 0.5000 0.6153 [1 per cell]
Ru1 0.0000 0.0000 0.4231 [1 per cell]
Ru2 0.5000 0.5000 0.0872 [1 per cell]

Computed properties:
Uncorrected formation energy   -0.480 eV/f.u.
Distance to the lowest polymorph of the same formula   75 meV/atom

VASP calculation (PBE) on crystalline LiAg3S2 at its relaxed geometry.

Lattice parameters (Å, degrees): 7.2225 7.2225 10.2436 90.00 90.00 120.00
Space group R-3m (No. 166, hexagonal axes)
One atom of each set of equivalent atoms:
Li1 0.0000 0.0000 0.0000 [3 per cell]
Ag1 0.0000 0.5000 0.0000 [9 per cell]
S1 0.0000 0.0000 0.2252 [6 per cell]

Computed properties:
Uncorrected formation energy   -1.829 eV/f.u.